Computed, not measured: SrZnSn after structural relaxation at the PBE level of DFT.

a = 7.6014 Å, b = 7.6014 Å, c = 4.8683 Å
α = 90.00°, β = 90.00°, γ = 120.00°
Positions (direct):
Zn (0.7560, 0.7560, 0.0000)
Zn (0.0000, 0.2440, 0.0000)
Zn (0.2440, 0.0000, 0.0000)
Sn (0.0000, 0.0000, 0.5000)
Sn (0.6667, 0.3333, 0.0000)
Sn (0.3333, 0.6667, 0.0000)
Sr (0.5632, 0.0000, 0.5000)
Sr (0.4368, 0.4368, 0.5000)
Sr (0.0000, 0.5632, 0.5000)

Results
As for the total energy: -2.740 eV per atom. The calculation puts the calculated volume at 243.61 Å³ per cell.

=====

Computed, not measured: Ba2NaHg after structural relaxation at the PBE level of DFT.

a = 4.2562 Å, b = 4.2562 Å, c = 9.4769 Å
α = 90.00°, β = 90.00°, γ = 90.00°
Positions (direct):
Na (0.0000, 0.0000, 0.5000)
Ba (0.5000, 0.5000, 0.7926)
Ba (0.5000, 0.5000, 0.2074)
Hg (0.0000, 0.0000, 0.0000)

Results
As for the total energy: -1.657 eV per atom. The calculation puts the calculated volume at 171.68 Å³ per cell.

=====

Computed, not measured: Nd4Sc4O11 after structural relaxation at the PBE level of DFT.

a = 5.5750 Å, b = 5.7812 Å, c = 7.9864 Å
α = 90.00°, β = 90.00°, γ = 89.89°
Positions (direct):
Nd (0.0133, 0.9446, 0.7500)
Nd (0.5251, 0.5560, 0.2500)
Nd (0.4842, 0.4458, 0.7500)
Nd (0.9886, 0.0467, 0.2500)
O (0.3000, 0.6992, 0.9438)
O (0.8004, 0.8003, 0.0540)
O (0.8004, 0.8003, 0.4460)
O (0.8890, 0.5427, 0.7500)
O (0.1960, 0.2014, 0.5546)
O (0.3000, 0.6992, 0.5562)
O (0.6993, 0.3005, 0.4438)
O (0.6076, 0.0425, 0.7500)
O (0.6993, 0.3005, 0.0562)
O (0.1960, 0.2014, 0.9454)
O (0.3933, 0.9606, 0.2500)
Sc (0.5003, 0.0010, 0.0006)
Sc (0.9981, 0.4993, 0.5005)
Sc (0.5003, 0.0010, 0.4994)
Sc (0.9981, 0.4993, 0.9995)

Results
As for the total energy: -8.528 eV per atom. The calculation puts the calculated volume at 257.40 Å³ per cell.